No. 1
A plane-wave DFT calculation with GGA-PBE was carried out for a geometry-optimized CoOsPd structure.

Formation enthalpy at 0 K = 58 kJ/mol of formula units
VASP energy = -22.9 eV per cell

Lattice parameters (Å, degrees): 2.6931 2.6931 5.8888 103.22 103.22 90.00
Element x y z (fractional)
1 Co 0.3236 0.3236 0.6473
2 Os 0.6796 0.6796 0.3592
3 Pd 0.9968 0.9968 0.9935

---

No. 2
A plane-wave DFT calculation with GGA-PBE was carried out for a geometry-optimized CoOsPd structure.

Formation enthalpy at 0 K = 34 kJ/mol of formula units
VASP energy = -46.3 eV per cell

Lattice parameters (Å, degrees): 2.6957 2.6957 11.7852 103.21 103.21 90.00
Element x y z (fractional)
1 Pd 0.7003 0.1694 0.3108
2 Pd 0.0123 0.4814 0.1224
3 Co 0.3658 0.8349 0.4763
4 Co 0.3468 0.8159 0.9569
5 Os 0.0183 0.4874 0.6291
6 Os 0.6943 0.1634 0.8042

---

No. 3
A plane-wave DFT calculation with GGA-PBE was carried out for a geometry-optimized Co2OsPd structure.

Formation enthalpy at 0 K = 63 kJ/mol of formula units
VASP energy = -30.0 eV per cell

Lattice parameters (Å, degrees): 2.6670 2.6670 8.5968 81.08 81.08 60.00
Element x y z (fractional)
1 Co 0.7477 0.7477 0.7568
2 Co 0.2523 0.2523 0.2432
3 Os 0.0000 0.0000 0.0000
4 Pd 0.5000 0.5000 0.5000

---

No. 4
A plane-wave DFT calculation with GGA-PBE was carried out for a geometry-optimized CoOsPd structure.

Formation enthalpy at 0 K = 53 kJ/mol of formula units
VASP energy = -23.0 eV per cell

Lattice parameters (Å, degrees): 2.6933 2.6933 6.5035 90.00 90.00 120.00
Element x y z (fractional)
1 Co 0.6667 0.3333 0.3435
2 Os 0.3333 0.6667 0.6490
3 Pd 0.0000 0.0000 0.0076

---

No. 5
A plane-wave DFT calculation with GGA-PBE was carried out for a geometry-optimized Co2OsPd structure.

Formation enthalpy at 0 K = 136 kJ/mol of formula units
VASP energy = -29.2 eV per cell

Lattice parameters (Å, degrees): 4.1743 4.1743 4.1743 60.00 60.00 60.00
Element x y z (fractional)
1 Co 0.2500 0.2500 0.2500
2 Co 0.7500 0.7500 0.7500
3 Os 0.5000 0.5000 0.5000
4 Pd 0.0000 0.0000 0.0000

---

No. 6
A plane-wave DFT calculation with GGA-PBE was carried out for a geometry-optimized Co3OsPd structure.

Formation enthalpy at 0 K = 715 kJ/mol of formula units
VASP energy = -30.3 eV per cell

Lattice parameters (Å, degrees): 4.4140 4.4140 4.4140 90.00 90.00 90.00
Element x y z (fractional)
1 Co 0.0000 0.5000 0.0000
2 Co 0.0000 0.0000 0.5000
3 Co 0.5000 0.0000 0.0000
4 Os 0.0000 0.0000 0.0000
5 Pd 0.5000 0.5000 0.5000

---

No. 7
A plane-wave DFT calculation with GGA-PBE was carried out for a geometry-optimized CoOsPd3 structure.

Formation enthalpy at 0 K = 715 kJ/mol of formula units
VASP energy = -26.5 eV per cell

Lattice parameters (Å, degrees): 4.4855 4.4855 4.4855 90.00 90.00 90.00
Element x y z (fractional)
1 Co 0.0000 0.0000 0.0000
2 Os 0.5000 0.5000 0.5000
3 Pd 0.0000 0.5000 0.0000
4 Pd 0.0000 0.0000 0.5000
5 Pd 0.5000 0.0000 0.0000

---

No. 8
A plane-wave DFT calculation with GGA-PBE was carried out for a geometry-optimized RbCo2OsPd structure.

Formation enthalpy at 0 K = 823 kJ/mol of formula units
VASP energy = -23.1 eV per cell

Lattice parameters (Å, degrees): 4.4798 6.0810 4.4798 90.00 90.00 90.00
Element x y z (fractional)
1 Co 0.0000 0.0000 0.5000
2 Co 0.5000 0.0000 0.0000
3 Os 0.0000 0.0000 0.0000
4 Rb 0.0000 0.5000 0.0000
5 Pd 0.5000 0.5000 0.5000

---

No. 9
A plane-wave DFT calculation with GGA-PBE was carried out for a geometry-optimized Co2SbOsPd structure.

Formation energy without anion corrections = 1541 meV/atom
VASP energy = -27.1 eV per cell

Lattice parameters (Å, degrees): 4.5124 4.8696 4.5124 90.00 90.00 90.00
Element x y z (fractional)
1 Sb 0.5000 0.5000 0.5000
2 Os 0.0000 0.5000 0.0000
3 Pd 0.0000 0.0000 0.0000
4 Co 0.0000 0.0000 0.5000
5 Co 0.5000 0.0000 0.0000

---

No. 10
A plane-wave DFT calculation with GGA-PBE was carried out for a geometry-optimized TaCoOs2Pd structure.

Formation enthalpy at 0 K = 993 kJ/mol of formula units
VASP energy = -36.3 eV per cell

Lattice parameters (Å, degrees): 4.7431 4.7836 4.7431 90.00 90.00 90.00
Element x y z (fractional)
1 Co 0.5000 0.5000 0.5000
2 Os 0.0000 0.0000 0.5000
3 Os 0.5000 0.0000 0.0000
4 Pd 0.0000 0.5000 0.0000
5 Ta 0.0000 0.0000 0.0000

---

No. 11
A plane-wave DFT calculation with GGA-PBE was carried out for a geometry-optimized CoOsPd2W structure.

Formation enthalpy at 0 K = 940 kJ/mol of formula units
VASP energy = -31.9 eV per cell

Lattice parameters (Å, degrees): 4.7782 4.6658 4.7782 90.00 90.00 90.00
Element x y z (fractional)
1 Co 0.5000 0.5000 0.5000
2 Os 0.0000 0.5000 0.0000
3 Pd 0.0000 0.0000 0.5000
4 Pd 0.5000 0.0000 0.0000
5 W 0.0000 0.0000 0.0000

---

No. 12
A plane-wave DFT calculation with GGA-PBE was carried out for a geometry-optimized ZnCoOsPd2 structure.

Formation enthalpy at 0 K = 698 kJ/mol of formula units
VASP energy = -22.8 eV per cell

Lattice parameters (Å, degrees): 4.4938 4.6295 4.4938 90.00 90.00 90.00
Element x y z (fractional)
1 Co 0.5000 0.5000 0.5000
2 Zn 0.0000 0.0000 0.0000
3 Os 0.0000 0.5000 0.0000
4 Pd 0.0000 0.0000 0.5000
5 Pd 0.5000 0.0000 0.0000